#P
DFT (GGA-PBEsol) results for a geometry-optimized Mn2CoSe structure.

a b c (Å): 3.1199 3.1199 5.2697
angles (deg): 90.00 90.00 90.00
Last column: magnetic moment on the atom in μB.
Sites, in units of the cell vectors:
Se: 0.5000 0.5000 0.0000  -0.06
Mn: 0.0000 0.0000 0.7454  2.98
Mn: 0.0000 0.0000 0.2546  2.98
Co: 0.5000 0.5000 0.5000  1.55

Values from the calculation:
The calculation puts the total magnetic moment at 7.6 Bohr magnetons per cell.

=====

#Q
DFT (GGA-PBEsol) results for a geometry-optimized Mn2CoSe structure.

a b c (Å): 2.9698 4.1745 4.1745
angles (deg): 105.74 90.00 90.00
Last column: magnetic moment on the atom in μB.
Sites, in units of the cell vectors:
Se: 0.5000 0.0000 0.0000  -0.08
Co: 0.5000 0.5000 0.5000  1.17
Mn: 0.0000 0.0000 0.5000  2.68
Mn: 0.0000 0.5000 0.0000  2.68

Values from the calculation:
The calculation puts the total magnetic moment at 6.5 Bohr magnetons per cell.

=====

Which of them is most stable? Easy: #P.

=====

#P
DFT (GGA-PBEsol) results for a geometry-optimized MnCoSi structure.

a b c (Å): 3.9196 3.9196 4.9092
angles (deg): 90.00 90.00 120.00
Last column: magnetic moment on the atom in μB.
Sites, in units of the cell vectors:
Mn: 0.0000 0.0000 0.5000  2.15
Mn: 0.0000 0.0000 0.0000  2.15
Co: 0.3333 0.6667 0.2500  0.34
Co: 0.6667 0.3333 0.7500  0.34
Si: 0.6667 0.3333 0.2500  -0.06
Si: 0.3333 0.6667 0.7500  -0.06

Values from the calculation:
The calculation puts the total magnetic moment at 4.9 Bohr magnetons per cell.

=====

#Q
DFT (GGA-PBEsol) results for a geometry-optimized MnCoSi structure.

a b c (Å): 3.8883 3.8883 5.0170
angles (deg): 90.00 90.00 120.00
Last column: magnetic moment on the atom in μB.
Sites, in units of the cell vectors:
Si: 0.0000 0.0000 0.5000  -0.04
Si: 0.0000 0.0000 0.0000  -0.04
Co: 0.6667 0.3333 0.2500  0.40
Co: 0.3333 0.6667 0.7500  0.40
Mn: 0.3333 0.6667 0.2500  1.84
Mn: 0.6667 0.3333 0.7500  1.84

Values from the calculation:
The calculation puts the total magnetic moment at 4.5 Bohr magnetons per cell.

=====

Which of them is most stable? Easy: #P.